Entry 1:
# PBEsol Nd9Al5Se21, relaxed
# N(E_F) in states/eV/f.u.: 0.0
# Formation energy from raw total energies in meV/atom: -1540
# E in eV per atom: -5.763
# Total moment in μB per formula unit: 0.00
data_Nd9Al5Se21
_cell_length_a 12.035
_cell_length_b 12.035
_cell_length_c 12.035
_cell_angle_alpha 94.65
_cell_angle_beta 94.65
_cell_angle_gamma 94.65
_symmetry_space_group_name_H-M 'P 1'
_symmetry_Int_Tables_number 1
_symmetry_space_group_name_Hall 'P 1'
loop_
_atom_site_label
_atom_site_type_symbol
_atom_site_fract_x
_atom_site_fract_y
_atom_site_fract_z
_atom_site_occupancy
Al1 Al 0.954 0.613 0.280 1
Al2 Al 0.119 0.453 0.775 1
Al3 Al 0.613 0.280 0.954 1
Al4 Al 0.144 0.144 0.144 1
Al5 Al 0.280 0.954 0.613 1
Al6 Al 0.327 0.327 0.327 1
Al7 Al 0.647 0.647 0.647 1
Al8 Al 0.453 0.775 0.119 1
Al9 Al 0.830 0.830 0.830 1
Al10 Al 0.775 0.119 0.453 1
Se1 Se 0.516 0.273 0.383 1
Se2 Se 0.960 0.060 0.210 1
Se3 Se 0.131 0.645 0.210 1
Se4 Se 0.367 0.835 0.284 1
Se5 Se 0.888 0.795 0.308 1
Se6 Se 0.448 0.697 0.593 1
Se7 Se 0.459 0.994 0.546 1
Se8 Se 0.697 0.593 0.448 1
Se9 Se 0.308 0.888 0.795 1
Se10 Se 0.519 0.937 0.033 1
Se11 Se 0.383 0.516 0.273 1
Se12 Se 0.795 0.308 0.888 1
Se13 Se 0.937 0.033 0.519 1
Se14 Se 0.593 0.448 0.697 1
Se15 Se 0.109 0.339 0.241 1
Se16 Se 0.764 0.008 0.905 1
Se17 Se 0.008 0.905 0.764 1
Se18 Se 0.210 0.131 0.645 1
Se19 Se 0.699 0.185 0.619 1
Se20 Se 0.905 0.764 0.008 1
Se21 Se 0.619 0.699 0.185 1
Se22 Se 0.158 0.828 0.490 1
Se23 Se 0.241 0.109 0.339 1
Se24 Se 0.326 0.658 0.992 1
Se25 Se 0.210 0.960 0.060 1
Se26 Se 0.284 0.367 0.835 1
Se27 Se 0.546 0.459 0.994 1
Se28 Se 0.992 0.326 0.658 1
Se29 Se 0.645 0.210 0.131 1
Se30 Se 0.060 0.210 0.960 1
Se31 Se 0.273 0.383 0.516 1
Se32 Se 0.720 0.854 0.624 1
Se33 Se 0.033 0.519 0.937 1
Se34 Se 0.835 0.284 0.367 1
Se35 Se 0.854 0.624 0.720 1
Se36 Se 0.339 0.241 0.109 1
Se37 Se 0.658 0.992 0.326 1
Se38 Se 0.994 0.546 0.459 1
Se39 Se 0.828 0.490 0.158 1
Se40 Se 0.185 0.619 0.699 1
Se41 Se 0.490 0.158 0.828 1
Se42 Se 0.624 0.720 0.854 1
Nd1 Nd 0.066 0.227 0.447 1
Nd2 Nd 0.546 0.929 0.770 1
Nd3 Nd 0.903 0.122 0.751 1
Nd4 Nd 0.447 0.066 0.227 1
Nd5 Nd 0.929 0.770 0.546 1
Nd6 Nd 0.770 0.546 0.929 1
Nd7 Nd 0.606 0.442 0.236 1
Nd8 Nd 0.236 0.606 0.442 1
Nd9 Nd 0.122 0.751 0.903 1
Nd10 Nd 0.260 0.114 0.886 1
Nd11 Nd 0.114 0.886 0.260 1
Nd12 Nd 0.415 0.569 0.789 1
Nd13 Nd 0.227 0.447 0.066 1
Nd14 Nd 0.442 0.236 0.606 1
Nd15 Nd 0.569 0.789 0.415 1
Nd16 Nd 0.886 0.260 0.114 1
Nd17 Nd 0.751 0.903 0.122 1
Nd18 Nd 0.789 0.415 0.569 1

***

Entry 2:
# PBEsol NdAlSi2, relaxed
# N(E_F) in states/eV/f.u.: 1.0
# Formation energy from raw total energies in meV/atom: -518
# E in eV per atom: -5.706
# Total moment in μB per formula unit: 0.00
data_NdAlSi2
_cell_length_a 4.137
_cell_length_b 4.137
_cell_length_c 10.928
_cell_angle_alpha 90.00
_cell_angle_beta 90.00
_cell_angle_gamma 120.00
_symmetry_space_group_name_H-M 'P 1'
_symmetry_Int_Tables_number 1
_symmetry_space_group_name_Hall 'P 1'
loop_
_atom_site_label
_atom_site_type_symbol
_atom_site_fract_x
_atom_site_fract_y
_atom_site_fract_z
_atom_site_occupancy
Si1 Si 0.333 0.667 0.352 1
Si2 Si 0.667 0.333 0.005 1
Si3 Si 0.667 0.333 0.648 1
Si4 Si 0.333 0.667 0.995 1
Nd1 Nd 0.000 0.000 0.181 1
Nd2 Nd 0.000 0.000 0.819 1
Al1 Al 0.667 0.333 0.415 1
Al2 Al 0.333 0.667 0.585 1

***

Entry 3:
# PBEsol Nd6Ta4Al43, relaxed
# N(E_F) in states/eV/f.u.: 18.0
# E in eV per atom: -5.157
# Total moment in μB per formula unit: 0.00
# Formation enthalpy at 0 K in eV per formula unit: -16.18
data_Nd6Ta4Al43
_cell_length_a 11.100
_cell_length_b 11.100
_cell_length_c 17.933
_cell_angle_alpha 90.00
_cell_angle_beta 90.00
_cell_angle_gamma 120.00
_symmetry_space_group_name_H-M 'P 1'
_symmetry_Int_Tables_number 1
_symmetry_space_group_name_Hall 'P 1'
loop_
_atom_site_label
_atom_site_type_symbol
_atom_site_fract_x
_atom_site_fract_y
_atom_site_fract_z
_atom_site_occupancy
Al1 Al 0.596 0.446 0.750 1
Al2 Al 0.667 0.333 0.126 1
Al3 Al 0.747 0.747 0.470 1
Al4 Al 0.753 0.505 0.000 1
Al5 Al 0.158 0.394 0.336 1
Al6 Al 0.247 0.495 0.000 1
Al7 Al 0.000 0.842 0.384 1
Al8 Al 0.000 0.253 0.470 1
Al9 Al 0.247 0.495 0.500 1
Al10 Al 0.505 0.753 0.000 1
Al11 Al 0.606 0.764 0.164 1
Al12 Al 0.850 0.404 0.750 1
Al13 Al 0.852 0.000 0.750 1
Al14 Al 0.158 0.158 0.384 1
Al15 Al 0.606 0.764 0.336 1
Al16 Al 0.000 0.842 0.116 1
Al17 Al 0.764 0.158 0.664 1
Al18 Al 0.404 0.850 0.750 1
Al19 Al 0.667 0.333 0.626 1
Al20 Al 0.247 0.753 0.000 1
Al21 Al 0.667 0.333 0.374 1
Al22 Al 0.842 0.236 0.336 1
Al23 Al 0.606 0.842 0.836 1
Al24 Al 0.236 0.842 0.164 1
Al25 Al 0.747 0.747 0.030 1
Al26 Al 0.753 0.505 0.500 1
Al27 Al 0.842 0.000 0.116 1
Al28 Al 0.253 0.000 0.030 1
Al29 Al 0.394 0.158 0.336 1
Al30 Al 0.150 0.554 0.750 1
Al31 Al 0.000 0.852 0.750 1
Al32 Al 0.000 0.158 0.884 1
Al33 Al 0.747 0.000 0.970 1
Al34 Al 0.852 0.852 0.250 1
Al35 Al 0.505 0.753 0.500 1
Al36 Al 0.764 0.606 0.336 1
Al37 Al 0.236 0.394 0.664 1
Al38 Al 0.158 0.000 0.884 1
Al39 Al 0.333 0.667 0.126 1
Al40 Al 0.158 0.000 0.616 1
Al41 Al 0.236 0.842 0.336 1
Al42 Al 0.247 0.753 0.500 1
Al43 Al 0.148 0.148 0.750 1
Al44 Al 0.333 0.667 0.374 1
Al45 Al 0.333 0.667 0.626 1
Al46 Al 0.253 0.000 0.470 1
Al47 Al 0.764 0.606 0.164 1
Al48 Al 0.000 0.148 0.250 1
Al49 Al 0.158 0.764 0.836 1
Al50 Al 0.842 0.606 0.836 1
Al51 Al 0.495 0.247 0.500 1
Al52 Al 0.667 0.333 0.874 1
Al53 Al 0.842 0.606 0.664 1
Al54 Al 0.850 0.446 0.250 1
Al55 Al 0.554 0.404 0.250 1
Al56 Al 0.753 0.247 0.000 1
Al57 Al 0.000 0.253 0.030 1
Al58 Al 0.394 0.158 0.164 1
Al59 Al 0.554 0.150 0.750 1
Al60 Al 0.158 0.764 0.664 1
Al61 Al 0.333 0.667 0.874 1
Al62 Al 0.158 0.158 0.116 1
Al63 Al 0.842 0.842 0.884 1
Al64 Al 0.842 0.842 0.616 1
Al65 Al 0.148 0.000 0.250 1
Al66 Al 0.446 0.596 0.750 1
Al67 Al 0.753 0.247 0.500 1
Al68 Al 0.394 0.236 0.664 1
Al69 Al 0.000 0.747 0.970 1
Al70 Al 0.842 0.236 0.164 1
Al71 Al 0.446 0.850 0.250 1
Al72 Al 0.150 0.596 0.250 1
Al73 Al 0.253 0.253 0.530 1
Al74 Al 0.747 0.000 0.530 1
Al75 Al 0.000 0.747 0.530 1
Al76 Al 0.596 0.150 0.250 1
Al77 Al 0.842 0.000 0.384 1
Al78 Al 0.236 0.394 0.836 1
Al79 Al 0.253 0.253 0.970 1
Al80 Al 0.495 0.247 0.000 1
Al81 Al 0.000 0.158 0.616 1
Al82 Al 0.404 0.554 0.250 1
Al83 Al 0.394 0.236 0.836 1
Al84 Al 0.764 0.158 0.836 1
Al85 Al 0.606 0.842 0.664 1
Al86 Al 0.158 0.394 0.164 1
Nd1 Nd 0.530 0.530 0.904 1
Nd2 Nd 0.470 0.470 0.096 1
Nd3 Nd 0.000 0.530 0.096 1
Nd4 Nd 0.470 0.000 0.596 1
Nd5 Nd 0.000 0.530 0.404 1
Nd6 Nd 0.000 0.470 0.596 1
Nd7 Nd 0.470 0.000 0.904 1
Nd8 Nd 0.470 0.470 0.404 1
Nd9 Nd 0.530 0.000 0.096 1
Nd10 Nd 0.530 0.530 0.596 1
Nd11 Nd 0.530 0.000 0.404 1
Nd12 Nd 0.000 0.470 0.904 1
Ta1 Ta 0.000 0.000 0.500 1
Ta2 Ta 0.000 0.272 0.750 1
Ta3 Ta 0.000 0.728 0.250 1
Ta4 Ta 0.728 0.728 0.750 1
Ta5 Ta 0.000 0.000 0.000 1
Ta6 Ta 0.272 0.272 0.250 1
Ta7 Ta 0.728 0.000 0.250 1
Ta8 Ta 0.272 0.000 0.750 1